Li2EuGe PBE relaxed; V = 19.13 Å³ per atom; crystal system = cubic; space group = No. 225; total magnetization = 1.756 μB/atom; DFT formation energy = -390 meV/atom
1.0
6.740 0.000 0.000
0.000 6.740 0.000
0.000 0.000 6.740
Li Eu Ge
8 4 4
Direct
0.250 0.250 0.250
0.250 0.250 0.750
0.250 0.750 0.250
0.250 0.750 0.750
0.750 0.250 0.250
0.750 0.250 0.750
0.750 0.750 0.250
0.750 0.750 0.750
0.000 0.000 0.000
0.000 0.500 0.500
0.500 0.000 0.500
0.500 0.500 0.000
0.000 0.000 0.500
0.000 0.500 0.000
0.500 0.000 0.000
0.500 0.500 0.500